BaMgC2O6 | meta-GGA SCAN | single point on PBEsol structure

a b c (Å): 5.0300 5.0300 11.5343
angles (deg): 77.41 77.41 60.00
Last column: nearest neighbours and their distance in Å.
Element x y z (fractional)
O (0.3206, 0.8376, 0.6114)  1 C 1.29
O (0.6624, 0.1794, 0.8886)  1 C 1.29
O (0.7304, 0.3376, 0.1114)  1 C 1.29
O (0.7696, 0.6794, 0.3886)  1 C 1.29
O (0.8376, 0.2304, 0.6114)  1 C 1.29
O (0.3376, 0.8206, 0.1114)  1 C 1.29
O (0.8206, 0.7304, 0.1114)  1 C 1.29
O (0.2696, 0.6624, 0.8886)  1 C 1.29
O (0.6794, 0.1624, 0.3886)  1 C 1.29
O (0.2304, 0.3206, 0.6114)  1 C 1.29
O (0.1794, 0.2696, 0.8886)  1 C 1.29
O (0.1624, 0.7696, 0.3886)  1 C 1.29
Ba (0.7500, 0.7500, 0.7500)  6 O 2.77
Ba (0.2500, 0.2500, 0.2500)  6 O 2.77
C (0.3694, 0.3694, 0.8917)  3 O 1.29
C (0.1306, 0.1306, 0.6083)  3 O 1.29
C (0.8694, 0.8694, 0.3917)  3 O 1.29
C (0.6306, 0.6306, 0.1083)  3 O 1.29
Mg (0.0000, 0.0000, 0.0000)  6 O 2.06
Mg (0.5000, 0.5000, 0.5000)  6 O 2.06

Calculated values
- Final energy: -12.552 eV per atom
- Space-group type: R-3c


BaMg2PC | meta-GGA SCAN | single point on PBEsol structure

a b c (Å): 5.4871 6.8601 6.8601
angles (deg): 90.00 90.00 90.00
Last column: nearest neighbours and their distance in Å.
Element x y z (fractional)
Mg (0.0000, 0.5000, 0.0000)  2 Ba 3.43
Mg (0.0000, 0.0000, 0.5000)  2 Ba 3.43
P (0.5000, 0.0000, 0.0000)  2 Ba 2.74
C (0.5000, 0.5000, 0.5000)  8 Mg 4.39, 4 P 4.85
Ba (0.0000, 0.0000, 0.0000)  2 P 2.74

Calculated values
- Space-group type: P4/mmm
- Energy of formation from the pure elements: 2245 meV per atom


Ba2MgPtC | meta-GGA SCAN | single point on PBEsol structure

a b c (Å): 3.8621 5.9544 5.9544
angles (deg): 90.00 90.00 90.00
Last column: nearest neighbours and their distance in Å.
Element x y z (fractional)
C (0.0000, 0.0000, 0.0000)  2 Pt 1.93
Pt (0.5000, 0.0000, 0.0000)  2 C 1.93
Ba (0.0000, 0.5000, 0.0000)  2 C 2.98
Ba (0.0000, 0.0000, 0.5000)  2 C 2.98
Mg (0.5000, 0.5000, 0.5000)  8 Ba 3.55, 2 Mg 3.86

Calculated values
- Space-group type: P4/mmm
- Energy of formation from the pure elements: -200 meV per atom


BaMn2SbC | meta-GGA SCAN | single point on PBEsol structure

a b c (Å): 4.6248 4.9807 4.9807
angles (deg): 90.00 90.00 90.00
Last column: nearest neighbours and their distance in Å.
Element x y z (fractional)
Mn (0.0000, 0.5000, 0.0000)  2 Sb 2.49
Mn (0.0000, 0.0000, 0.5000)  2 Sb 2.49
Sb (0.0000, 0.0000, 0.0000)  2 C 2.31, 4 Mn 2.49
C (0.5000, 0.0000, 0.0000)  2 Sb 2.31
Ba (0.5000, 0.5000, 0.5000)  8 Mn 3.40, 4 C 3.52

Calculated values
- Final energy: -23.614 eV per atom
- Space-group type: P4/mmm


BaMoC3 | meta-GGA SCAN | single point on PBEsol structure

a b c (Å): 4.1853 4.1853 4.1853
angles (deg): 90.00 90.00 90.00
Last column: nearest neighbours and their distance in Å.
Element x y z (fractional)
C (0.5000, 0.0000, 0.0000)  2 Mo 2.09
C (0.0000, 0.5000, 0.0000)  2 Mo 2.09
C (0.0000, 0.0000, 0.5000)  2 Mo 2.09
Mo (0.0000, 0.0000, 0.0000)  6 C 2.09
Ba (0.5000, 0.5000, 0.5000)  12 C 2.96

Calculated values
- Space-group type: Pm-3m
- Energy of formation from the pure elements: 1030 meV per atom


BaMoC2 | meta-GGA SCAN | single point on PBEsol structure

a b c (Å): 5.9464 5.9308 5.9464
angles (deg): 59.91 90.00 120.09
Last column: nearest neighbours and their distance in Å.
Element x y z (fractional)
Ba (0.7500, 0.5000, 0.7500)  4 C 2.92
Ba (0.0000, 0.0000, 0.0000)  4 C 2.92
C (0.4906, 0.7500, 0.3750)  2 Mo 1.94
C (0.2594, 0.7500, 0.8750)  2 Mo 1.94
C (0.3750, 0.2500, 0.2594)  2 Mo 1.94
C (0.8750, 0.2500, 0.4906)  2 Mo 1.94
Mo (0.2500, 0.5000, 0.2500)  4 C 1.94
Mo (0.5000, 0.0000, 0.5000)  4 C 1.94

Calculated values
- Space-group type: I-42d
- Energy of formation from the pure elements: 206 meV per atom


Ba2CN | meta-GGA SCAN | single point on PBEsol structure

a b c (Å): 6.5851 6.5851 6.5851
angles (deg): 98.62 115.15 115.15
Last column: nearest neighbours and their distance in Å.
Element x y z (fractional)
Ba (0.5310, 0.8750, 0.9060)  2 N 2.58, 2 C 2.86
Ba (0.9690, 0.0940, 0.6250)  2 N 2.58, 2 C 2.86
Ba (0.0310, 0.6560, 0.1250)  2 N 2.58, 2 C 2.86
Ba (0.4690, 0.3750, 0.3440)  2 N 2.58, 2 C 2.86
C (0.0000, 0.5000, 0.5000)  4 Ba 2.86
C (0.5000, 0.2500, 0.7500)  4 Ba 2.86
N (0.5000, 0.7500, 0.2500)  4 Ba 2.58
N (0.0000, 0.0000, 0.0000)  4 Ba 2.58

Calculated values
- Final energy: -24.023 eV per atom
- Space-group type: I-42d


Ba4CN4 | meta-GGA SCAN | single point on PBEsol structure

a b c (Å): 3.9830 13.0494 14.9685
angles (deg): 90.00 90.00 90.00
Last column: nearest neighbours and their distance in Å.
Element x y z (fractional)
N (0.7500, 0.7059, 0.8505)  6 Ba 2.66-2.90
N (0.7500, 0.4366, 0.8695)  1 C 1.25
N (0.2500, 0.2476, 0.4122)  1 C 1.24
N (0.2500, 0.4616, 0.6305)  5 Ba 2.59-2.81
N (0.2500, 0.7476, 0.0878)  1 C 1.24
N (0.7500, 0.2524, 0.9122)  1 C 1.24
N (0.2500, 0.2941, 0.1495)  6 Ba 2.66-2.90
N (0.2500, 0.9616, 0.8695)  5 Ba 2.59-2.81
N (0.2500, 0.7941, 0.3505)  6 Ba 2.66-2.90
N (0.2500, 0.5634, 0.1305)  1 C 1.25
N (0.2500, 0.0634, 0.3695)  1 C 1.25
N (0.7500, 0.7524, 0.5878)  1 C 1.24
N (0.7500, 0.2059, 0.6495)  6 Ba 2.66-2.90
N (0.7500, 0.9366, 0.6305)  1 C 1.25
N (0.7500, 0.0384, 0.1305)  5 Ba 2.59-2.81
N (0.7500, 0.5384, 0.3695)  5 Ba 2.59-2.81
Ba (0.2500, 0.6350, 0.4715)  5 N 2.76-3.06
Ba (0.2500, 0.1350, 0.0285)  5 N 2.76-3.06
Ba (0.2500, 0.8100, 0.7581)  3 N 2.59-2.78
Ba (0.7500, 0.5680, 0.6987)  4 N 2.63-2.92
Ba (0.7500, 0.3650, 0.5285)  5 N 2.76-3.06
Ba (0.2500, 0.3100, 0.7419)  3 N 2.59-2.78
Ba (0.2500, 0.9320, 0.1987)  4 N 2.63-2.92
Ba (0.7500, 0.0680, 0.8013)  4 N 2.63-2.92
Ba (0.7500, 0.8650, 0.9715)  5 N 2.76-3.06
Ba (0.7500, 0.6900, 0.2581)  3 N 2.59-2.78
Ba (0.2500, 0.4320, 0.3013)  4 N 2.63-2.92
Ba (0.2500, 0.0984, 0.5788)  2 N 2.66, 1 C 2.91
Ba (0.7500, 0.4016, 0.0788)  2 N 2.66, 1 C 2.91
Ba (0.7500, 0.9016, 0.4212)  2 N 2.66, 1 C 2.91
Ba (0.7500, 0.1900, 0.2419)  3 N 2.59-2.78
Ba (0.2500, 0.5984, 0.9212)  2 N 2.66, 1 C 2.91
C (0.2500, 0.6557, 0.1093)  2 N 1.24-1.25
C (0.2500, 0.1557, 0.3907)  2 N 1.24-1.25
C (0.7500, 0.3443, 0.8907)  2 N 1.24-1.25
C (0.7500, 0.8443, 0.6093)  2 N 1.24-1.25

Calculated values
- Final energy: -23.573 eV per atom
- Space-group type: Pnma